Crystalline InGaHg at its relaxed geometry, computed with GGA-PBE.

```
data_InGaHg
_cell_length_a 4.6125
_cell_length_b 4.6125
_cell_length_c 10.9741
_cell_angle_alpha 90.00
_cell_angle_beta 90.00
_cell_angle_gamma 120.00
_symmetry_space_group_name_H-M 'P 63/m m c'
_symmetry_Int_Tables_number 194
_symmetry_space_group_name_Hall '-P 6c 2c'
loop_
_atom_site_label
_atom_site_fract_x
_atom_site_fract_y
_atom_site_fract_z
In1 0.0000 0.0000 0.0000
Ga1 0.0000 0.0000 0.2500
Hg1 0.3333 0.6667 0.2500
```

Results
final energy: -1.7228 eV/atom
calculated volume: 33.699 Å³/atom
calculated formation energy: 0.300 eV/atom